1.
InFe2Tc GGA-PBE relaxed; formation enthalpy at 0 K = 254 meV/atom; DFT total energy = -7.2531 eV per atom; N(E_F) = 4.93 states/eV per cell
1.0
3.665 0.000 0.000
0.000 2.843 -0.002
0.000 2.855 5.650
Fe In Tc
2 1 1
Cartesian
0.000 2.858 5.416 Fe
0.000 2.847 3.058 Fe
1.832 1.425 1.412 In
1.832 4.274 4.236 Tc

***

2.
InFeTc2 GGA-PBE relaxed; formation enthalpy at 0 K = 428 meV/atom; DFT total energy = -7.5552 eV per atom; N(E_F) = 4.37 states/eV per cell
1.0
-4.089 -2.517 0.272
3.799 -2.729 -1.117
0.484 -0.482 2.822
Fe In Tc
1 1 2
Cartesian
-1.803 -1.499 1.547 Fe
2.142 -1.606 0.853 In
0.000 0.000 0.000 Tc
-0.145 -2.623 -0.423 Tc

***

3.
InFeTc4 GGA-PBE relaxed; formation enthalpy at 0 K = 432 meV/atom; DFT total energy = -8.3456 eV per atom; N(E_F) = 7.13 states/eV per cell
1.0
-2.344 -4.497 0.942
-0.866 -1.488 4.862
-4.811 -0.061 1.860
In Fe Tc
1 1 4
Cartesian
0.000 0.000 0.000 In
-6.016 -4.535 5.749 Fe
-4.179 -4.512 3.347 Tc
-5.409 -2.300 3.804 Tc
-3.443 -3.011 5.301 Tc
-3.011 -2.269 2.877 Tc

***

4.
In3FeTc GGA-PBE relaxed; formation enthalpy at 0 K = 919 meV/atom; DFT total energy = -4.4899 eV per atom; E above lowest polymorph = 0.0000 eV/atom; N(E_F) = 4.99 states/eV per cell
1.0
4.905 0.000 0.000
0.000 4.905 0.000
0.000 0.000 4.905
Fe Tc In
1 1 3
Cartesian
0.000 0.000 0.000 Fe
2.452 2.452 2.452 Tc
0.000 2.452 0.000 In
0.000 0.000 2.452 In
2.452 0.000 0.000 In

***

5.
InFeTc2 GGA-PBE relaxed; formation enthalpy at 0 K = 650 meV/atom; DFT total energy = -7.3337 eV per atom; N(E_F) = 10.46 states/eV per cell
1.0
-4.650 -2.414 -4.904
0.921 -6.693 2.421
-3.778 -4.220 0.409
Fe Tc In
2 4 2
Cartesian
-1.864 -4.554 -1.242 Fe
-2.361 -7.733 0.794 Fe
-3.440 -3.247 -2.349 Tc
-1.245 -5.693 0.691 Tc
-4.173 -7.006 -0.471 Tc
-6.155 -10.708 -2.020 Tc
0.000 0.000 0.000 In
-5.146 -5.594 -2.869 In

***

6.
InFe2Tc GGA-PBE relaxed; formation enthalpy at 0 K = 340 meV/atom; DFT total energy = -7.1679 eV per atom; N(E_F) = 6.41 states/eV per cell
1.0
-4.004 -1.246 -1.225
-2.328 -2.681 2.545
-3.504 1.505 2.131
Fe In Tc
2 1 1
Cartesian
0.000 0.000 0.000 Fe
-2.459 -0.605 0.863 Fe
-4.917 -1.211 1.725 In
-7.376 -1.816 2.588 Tc